# Sm3CrO6 | the Alexandria database | PBE with a Hubbard U | optimized geometry
data_Sm3CrO6
_symmetry_space_group_name_H-M 'C m c 21'
_symmetry_Int_Tables_number 36
_symmetry_space_group_name_Hall 'C 2c -2'
_cell_length_a 9.136
_cell_length_b 11.396
_cell_length_c 5.644
_cell_angle_alpha 90.00
_cell_angle_beta 90.00
_cell_angle_gamma 90.00
loop_
_atom_site_label
_atom_site_type_symbol
_atom_site_fract_x
_atom_site_fract_y
_atom_site_fract_z
_atom_site_occupancy
Sm1 Sm 0.000 0.103 0.000 1
Sm2 Sm 0.195 0.392 0.045 1
Cr1 Cr 0.000 0.318 0.575 1
O1 O 0.000 0.281 0.239 1
O2 O 0.000 0.461 0.771 1
O3 O 0.154 0.243 0.748 1
O4 O 0.160 0.013 0.274 1
# - Calculated total energy: -8.125 eV/atom